Compound: Zn2Fe2O5
Source: Alexandria
Functional: GGA+U
Structure: optimized geometry

As for the space group: Pbam (55). For the total energy, the calculation gives -101.3 eV for the cell shown. The density of states at the Fermi level comes out at 0.0 states/eV/cell.

abc: 7.6231 10.2675 3.2916
angles: 90.00 90.00 90.00
With the nearest neighbours (Å) after each atom.
Positions (direct):
Zn: 0.0904 0.1296 0.0000  4 O 1.92-2.08
Zn: 0.4096 0.6296 0.0000  4 O 1.92-2.08
Zn: 0.5904 0.3704 0.0000  4 O 1.92-2.08
Zn: 0.9096 0.8704 0.0000  4 O 1.92-2.08
Fe: 0.1951 0.3976 0.5000  4 O 1.82-1.99
Fe: 0.3049 0.8976 0.5000  4 O 1.82-1.99
Fe: 0.6951 0.1024 0.5000  4 O 1.82-1.99
Fe: 0.8049 0.6024 0.5000  4 O 1.82-1.99
O: 0.0000 0.5000 0.5000  2 Fe 1.82
O: 0.1434 0.2183 0.5000  1 Fe 1.88, 2 Zn 1.92
O: 0.1679 0.9363 0.0000  2 Fe 1.99, 2 Zn 2.07-2.08
O: 0.3321 0.4363 0.0000  2 Fe 1.99, 2 Zn 2.07-2.08
O: 0.3566 0.7183 0.5000  1 Fe 1.88, 2 Zn 1.92
O: 0.5000 0.0000 0.5000  2 Fe 1.82
O: 0.6434 0.2817 0.5000  1 Fe 1.88, 2 Zn 1.92
O: 0.6679 0.5637 0.0000  2 Fe 1.99, 2 Zn 2.07-2.08
O: 0.8321 0.0637 0.0000  2 Fe 1.99, 2 Zn 2.07-2.08
O: 0.8566 0.7817 0.5000  1 Fe 1.88, 2 Zn 1.92